First-principles (PBE+U) data for a relaxed Rb3CaV2O8 crystal, as listed in Alexandria.

Lattice parameters (Å, degrees): 6.1466 6.1466 8.0019 90.00 90.00 120.00
Positions (direct):
Rb 0.0000 0.0000 0.0000
Rb 0.3333 0.6667 0.6884
Rb 0.6667 0.3333 0.3116
Ca 0.0000 0.0000 0.5000
V 0.3333 0.6667 0.2499
V 0.6667 0.3333 0.7501
O 0.1784 0.3568 0.3240
O 0.1784 0.8216 0.3240
O 0.3333 0.6667 0.0352
O 0.3568 0.1784 0.6760
O 0.6432 0.8216 0.3240
O 0.6667 0.3333 0.9648
O 0.8216 0.1784 0.6760
O 0.8216 0.6432 0.6760

Summary:
ρ: 3338 kg/m3
total energy: -6.305 eV/atom